# 1
An optimized crystal structure of Mn2CrNi. Source: the Alexandria database, functional PBE.

Unit cell a=2.971 b=2.971 c=5.565 alpha=90.00 beta=90.00 gamma=90.00
Space group P4mm (No. 99)
Inequivalent atoms, fractional coordinates:
Mn  0.000  0.000  0.000 x1
Mn  0.500  0.500  0.260 x1
Cr  0.500  0.500  0.762 x1
Ni  0.000  0.000  0.503 x1

The formation energy from the elements comes out at 0.091 eV/atom.



# 2
An optimized crystal structure of B3SbRh. Source: the Alexandria database, functional PBE.

Unit cell a=4.377 b=4.377 c=4.377 alpha=90.00 beta=90.00 gamma=90.00
Space group Pm-3m (No. 221)
Inequivalent atoms, fractional coordinates:
B  0.000  0.000  0.500 x3
Sb  0.000  0.000  0.000 x1
Rh  0.500  0.500  0.500 x1

The energy above the most stable polymorph in this dataset comes out at 592 kJ/mol of formula units.



# 3
An optimized crystal structure of LiCuCl3. Source: the Alexandria database, functional PBE.

Unit cell a=4.008 b=18.515 c=6.050 alpha=90.00 beta=90.00 gamma=90.00
Space group Cmc2_1 (No. 36)
Inequivalent atoms, fractional coordinates:
Li  0.000  0.162  0.000 x4
Cu  0.000  0.360  0.984 x4
Cl  0.000  0.091  0.366 x4
Cl  0.000  0.269  0.738 x4
Cl  0.000  0.401  0.328 x4

The energy above the most stable polymorph in this dataset comes out at 0 kJ/mol of formula units.



# 4
An optimized crystal structure of Y2FeCo3. Source: the Alexandria database, functional PBE.

Unit cell a=5.1872 b=5.1872 c=8.1110 alpha=90.00 beta=90.00 gamma=120.00
Space group P6_3/mmc (No. 194)
Inequivalent atoms, fractional coordinates:
Y  0.3333  0.6667  0.0614 x4
Fe  0.0000  0.0000  0.0000 x2
Co  0.1662  0.3324  0.7500 x6

The formation energy from the elements comes out at -0.150 eV/atom.



Number 1: DFT total energy -8.3451 eV per atom. Number 2: DFT total energy -3.8857 eV per atom. Number 3: DFT total energy -3.2851 eV per atom. Number 4: DFT total energy -7.2682 eV per atom.